Entry from Alexandria: crystalline ScReP2 at its relaxed geometry (PBE).

Values from the calculation:
crystal system	monoclinic
total moment	0.00	μB per atom
total energy	-7.9735	eV/atom
density of states at the Fermi level	0.3039	states/eV/atom
theoretical density	7.7	g/cm3
calculated volume	63	Å³/cell

a = 4.609 Å, b = 4.609 Å, c = 4.637 Å
α = 88.62°, β = 88.62°, γ = 39.88°
Element x y z (fractional)
Re  0.501  0.501  0.669
Sc  0.242  0.242  0.146
P  0.969  0.969  0.065
P  0.788  0.788  0.620